# 1
Material: Li2InNiN
Method: DFT, GGA-PBE
State: relaxed

Values from the calculation:
* energy: -4.374 eV per atom
* magnetization: 0.000 μB per atom
* E_form (uncorrected): -0.24 eV per atom
* SG: P4/mmm (123)

abc: 4.288 4.288 3.584
angles: 90.00 90.00 90.00
Fractional coordinates of all 5 atoms:
Ni 0.000 0.000 0.500
N 0.000 0.000 0.000
Li 0.000 0.500 0.000
Li 0.500 0.000 0.000
In 0.500 0.500 0.500

# 2
Material: LiInNO2
Method: DFT, GGA-PBE
State: relaxed

Values from the calculation:
* energy: -4.280 eV per atom
* magnetization: 0.617 μB per atom
* E_form (uncorrected): 0.30 eV per atom
* SG: P4/mmm (123)

abc: 3.713 3.713 3.941
angles: 90.00 90.00 90.00
Fractional coordinates of all 5 atoms:
N 0.000 0.000 0.500
Li 0.000 0.000 0.000
O 0.000 0.500 0.000
O 0.500 0.000 0.000
In 0.500 0.500 0.500

# 3
Material: LiInN2O
Method: DFT, GGA-PBE
State: relaxed

Values from the calculation:
* energy: -4.187 eV per atom
* magnetization: 0.797 μB per atom
* E_form (uncorrected): 1.07 eV per atom
* SG: P4/mmm (123)

abc: 3.926 3.926 3.648
angles: 90.00 90.00 90.00
Fractional coordinates of all 5 atoms:
N 0.000 0.500 0.000
N 0.500 0.000 0.000
Li 0.000 0.000 0.000
O 0.000 0.000 0.500
In 0.500 0.500 0.500

# 4
Material: LiInNO2
Method: DFT, GGA-PBE
State: relaxed

Values from the calculation:
* energy: -4.490 eV per atom
* magnetization: 0.600 μB per atom
* E_form (uncorrected): 0.09 eV per atom
* SG: P4/mmm (123)

abc: 4.229 4.349 4.229
angles: 90.00 90.00 90.00
Fractional coordinates of all 5 atoms:
N 0.000 0.500 0.000
Li 0.500 0.500 0.500
O 0.000 0.000 0.500
O 0.500 0.000 0.000
In 0.000 0.000 0.000

# 5
Material: LiInN2O
Method: DFT, GGA-PBE
State: relaxed

Values from the calculation:
* energy: -4.371 eV per atom
* magnetization: 0.791 μB per atom
* E_form (uncorrected): 0.88 eV per atom
* SG: P4/mmm (123)

abc: 4.317 4.317 4.283
angles: 90.00 90.00 90.00
Fractional coordinates of all 5 atoms:
N 0.000 0.500 0.000
N 0.500 0.000 0.000
Li 0.500 0.500 0.500
O 0.000 0.000 0.500
In 0.000 0.000 0.000

# 6
Material: Li2InPN
Method: DFT, GGA-PBE
State: relaxed

Values from the calculation:
* energy: -4.154 eV per atom
* magnetization: 0.193 μB per atom
* E_form (uncorrected): -0.09 eV per atom
* SG: P4/mmm (123)

abc: 4.046 4.422 4.046
angles: 90.00 90.00 90.00
Fractional coordinates of all 5 atoms:
P 0.500 0.500 0.500
N 0.000 0.000 0.000
Li 0.000 0.000 0.500
Li 0.500 0.000 0.000
In 0.000 0.500 0.000

# 7
Material: LiPa2InN5
Method: DFT, GGA-PBE
State: relaxed

Values from the calculation:
* energy: -7.990 eV per atom
* magnetization: 0.061 μB per atom
* E_form (uncorrected): -0.74 eV per atom
* SG: Cmc2_1 (36)

abc: 3.457 6.806 9.913
angles: 90.00 90.00 104.71
Fractional coordinates of all 18 atoms:
Li 0.516 0.032 0.985
Li 0.484 0.968 0.485
Pa 0.870 0.740 0.789
Pa 0.113 0.226 0.675
Pa 0.130 0.260 0.289
Pa 0.887 0.774 0.175
In 0.806 0.612 0.488
In 0.194 0.388 0.988
N 0.360 0.721 0.007
N 0.686 0.372 0.838
N 0.504 0.007 0.778
N 0.296 0.591 0.680
N 0.960 0.919 0.584
N 0.640 0.279 0.507
N 0.314 0.628 0.338
N 0.496 0.993 0.278
N 0.704 0.409 0.180
N 0.040 0.081 0.084

# 8
Material: LiIn2ReN4
Method: DFT, GGA-PBE
State: relaxed

Values from the calculation:
* energy: -6.635 eV per atom
* magnetization: 0.000 μB per atom
* E_form (uncorrected): 0.01 eV per atom
* SG: I-42m (121)

abc: 4.919 4.919 6.124
angles: 113.69 113.69 89.99
Fractional coordinates of all 8 atoms:
Li 0.000 0.000 0.000
In 0.750 0.250 0.500
In 0.250 0.750 0.500
Re 0.500 0.500 0.000
N 0.609 0.609 0.782
N 0.391 0.827 0.218
N 0.827 0.391 0.218
N 0.173 0.173 0.782